! ScIrCl2, relaxed, DFT GGA-PBE; values from VASP
! Crystal system: trigonal
! Raw formation energy, eV/atom: -0.48
! Final energy, eV/f.u.: -20.82
! Volume, Å³ per cell: 71.5
! Total magnetic moment, μB per formula unit: 0.00
! D(E_F), states/eV/f.u.: 3.05
! Space group: R-3m (166)
! Polymorph energy (0 for the lowest one), meV per atom: 445
&SYSTEM
  ibrav = 0, nat = 4, ntyp = 3
/
ATOMIC_SPECIES
Sc 44.96 Sc.upf
Ir 192.22 Ir.upf
Cl 35.45 Cl.upf
CELL_PARAMETERS angstrom
1.587 0.916 8.195
-1.587 0.916 8.195
0.000 -1.833 8.195
ATOMIC_POSITIONS angstrom
Sc 0.000 0.000 0.000
Ir 0.000 0.000 12.292
Cl 0.000 0.000 9.963
Cl 0.000 0.000 14.621

---

! BaSrIrSe2, relaxed, DFT GGA-PBE; values from VASP
! Crystal system: tetragonal
! Raw formation energy, eV/atom: 0.22
! Final energy, eV/f.u.: -18.32
! Volume, Å³ per cell: 188.2
! Total magnetic moment, μB per formula unit: 1.93
! D(E_F), states/eV/f.u.: 3.56
! Space group: P4/mmm (123)
&SYSTEM
  ibrav = 0, nat = 5, ntyp = 4
/
ATOMIC_SPECIES
Ba 137.33 Ba.upf
Sr 87.62 Sr.upf
Ir 192.22 Ir.upf
Se 78.96 Se.upf
CELL_PARAMETERS angstrom
5.986 0.000 0.000
0.000 5.986 0.000
0.000 0.000 5.252
ATOMIC_POSITIONS angstrom
Ba 0.000 0.000 0.000
Sr 2.993 2.993 2.626
Ir 0.000 0.000 2.626
Se 0.000 2.993 0.000
Se 2.993 0.000 0.000

---

! Te2AsH, relaxed, DFT GGA-PBE; values from VASP
! Crystal system: tetragonal
! Final energy, eV/f.u.: -12.42
! Volume, Å³ per cell: 205.4
! Total magnetic moment, μB per formula unit: 0.00
! D(E_F), states/eV/f.u.: 0.99
! Space group: I-42d (122)
! Polymorph energy (0 for the lowest one), meV per atom: 365
&SYSTEM
  ibrav = 0, nat = 8, ntyp = 3
/
ATOMIC_SPECIES
Te 127.60 Te.upf
As 74.92 As.upf
H 1.01 H.upf
CELL_PARAMETERS angstrom
-3.038 3.038 5.564
3.038 -3.038 5.564
3.038 3.038 -5.564
ATOMIC_POSITIONS angstrom
Te 4.557 1.101 -1.391
Te 1.101 1.519 1.391
Te -1.519 1.937 4.173
Te 1.937 1.519 6.955
As 3.038 0.000 2.782
As 0.000 0.000 5.564
H 0.000 0.000 0.000
H 0.000 3.038 2.782